[1]
Here is a relaxed structure of Tb3YTm8 from the Alexandria database. Energies are from PBE.

Computed properties:
Formation energy in eV per formula unit: 0.0
M_tot in μB per atom: 0.000

a = 8.3469 Å, b = 8.3448 Å, c = 8.3536 Å
α = 96.36°, β = 99.64°, γ = 136.23°
Closest atoms and distances in Å follow each position.
Fractional coordinates of all 12 atoms:
Tm: 0.1665 0.7484 0.9175  7 Tm 3.46-3.61, 4 Tb 3.48-3.61, 1 Y 3.48
Tm: 0.8346 0.6678 0.1671  7 Tm 3.46-3.60, 3 Tb 3.47-3.59, 2 Y 3.59-3.60
Tm: 0.8313 0.7482 0.5823  7 Tm 3.46-3.61, 4 Tb 3.47-3.61, 1 Y 3.48
Y: 0.1663 0.1667 0.9998  2 Tb 3.47-3.48, 10 Tm 3.48-3.60
Tm: 0.5002 0.1671 0.3330  7 Tm 3.46-3.59, 4 Tb 3.47-3.60, 1 Y 3.59
Tm: 0.5002 0.6676 0.8325  7 Tm 3.46-3.60, 3 Tb 3.48-3.59, 2 Y 3.59-3.60
Tb: 0.5017 0.7514 0.2503  10 Tm 3.47-3.61, 1 Y 3.47, 1 Tb 3.48
Tm: 0.8312 0.2487 0.0828  7 Tm 3.46-3.61, 4 Tb 3.47-3.61, 1 Y 3.48
Tm: 0.1665 0.2489 0.4180  7 Tm 3.46-3.61, 4 Tb 3.48-3.61, 1 Y 3.48
Tb: 0.1661 0.6665 0.4998  10 Tm 3.47-3.60, 2 Tb 3.47-3.48
Tm: 0.8338 0.1674 0.6667  7 Tm 3.46-3.59, 4 Tb 3.46-3.60, 1 Y 3.59
Tb: 0.5016 0.2513 0.7502  10 Tm 3.46-3.61, 1 Tb 3.47, 1 Y 3.48

***

[2]
Here is a relaxed structure of Tb4Y5Tm from the Alexandria database. Energies are from PBE.

Computed properties:
Formation energy in eV per formula unit: 1.0
M_tot in μB per atom: 0.000

a = 3.4920 Å, b = 10.9054 Å, c = 9.0424 Å
α = 73.33°, β = 101.13°, γ = 90.00°
Closest atoms and distances in Å follow each position.
Fractional coordinates of all 10 atoms:
Y: 0.8944 0.2878 0.7888  5 Y 3.35-3.64, 3 Tb 3.38-3.58, 2 Tm 3.60
Y: 0.2068 0.4006 0.4136  7 Y 3.35-3.64, 2 Tb 3.39-3.44
Tb: 0.6970 0.9178 0.3940  1 Tm 3.35, 3 Y 3.39-3.58, 7 Tb 3.43-3.56
Y: 0.1056 0.7122 0.2112  5 Y 3.35-3.64, 3 Tb 3.38-3.58, 2 Tm 3.60
Y: 0.5000 0.5000 0.0000  6 Y 3.49-3.80, 4 Tb 3.71
Tb: 0.9067 0.8065 0.8133  4 Y 3.38-3.71, 5 Tb 3.49-3.56, 2 Tm 3.51
Tm: 0.5000 0.0000 0.0000  6 Tb 3.35-3.51, 2 Tm 3.49, 4 Y 3.60
Y: 0.7932 0.5994 0.5864  7 Y 3.35-3.64, 2 Tb 3.39-3.44
Tb: 0.3030 0.0822 0.6060  1 Tm 3.35, 3 Y 3.39-3.58, 7 Tb 3.43-3.56
Tb: 0.0933 0.1935 0.1867  4 Y 3.38-3.71, 5 Tb 3.49-3.56, 2 Tm 3.51